Here is a relaxed CrTcSe2 crystal from Alexandria via LeMat-Bulk. Energies are from PBE.

## Properties
- Total magnetization: 3.7 μB per cell
- Relative energy among the computed polymorphs: 0.354 eV/atom
- Symmetry: No. 12
- Raw formation energy: 0.10 eV/atom

a = 4.130 Å, b = 4.130 Å, c = 5.619 Å
α = 78.18°, β = 78.18°, γ = 47.36°
Fractional coordinates of all 4 atoms:
Se  0.488  0.488  0.516
Cr  0.250  0.250  0.250
Se  0.012  0.012  0.984
Tc  0.750  0.750  0.750

***

Here is a relaxed CrTcSe2 crystal from Alexandria via LeMat-Bulk. Energies are from PBE.

## Properties
- Total magnetization: 2.4 μB per cell
- Relative energy among the computed polymorphs: 0.440 eV/atom
- Symmetry: No. 44
- Raw formation energy: 0.19 eV/atom

a = 5.667 Å, b = 5.667 Å, c = 5.667 Å
α = 148.20°, β = 134.80°, γ = 56.31°
Fractional coordinates of all 4 atoms:
Se  0.731  0.231  0.500
Se  0.015  0.015  0.000
Cr  0.223  0.723  0.500
Tc  0.531  0.531  0.000

***

Here is a relaxed CrTc2Se crystal from Alexandria via LeMat-Bulk. Energies are from PBE.

## Properties
- Total magnetization: 0.9 μB per cell
- Symmetry: No. 71
- Raw formation energy: 0.26 eV/atom

a = 5.159 Å, b = 5.159 Å, c = 5.159 Å
α = 146.43°, β = 130.28°, γ = 61.33°
Fractional coordinates of all 4 atoms:
Tc  0.026  0.026  0.000
Cr  0.750  0.250  0.500
Tc  0.474  0.474  0.000
Se  0.250  0.750  0.500

***

Here is a relaxed CrTcSe2 crystal from Alexandria via LeMat-Bulk. Energies are from PBE.

## Properties
- Total magnetization: 2.2 μB per cell
- Relative energy among the computed polymorphs: 0.459 eV/atom
- Symmetry: No. 166
- Raw formation energy: 0.21 eV/atom

a = 7.689 Å, b = 7.689 Å, c = 7.689 Å
α = 23.26°, β = 23.26°, γ = 23.26°
Fractional coordinates of all 4 atoms:
Se  0.498  0.498  0.498
Tc  0.250  0.250  0.250
Se  0.002  0.002  0.002
Cr  0.750  0.750  0.750

***

Here is a relaxed CrTcSe crystal from Alexandria via LeMat-Bulk. Energies are from PBE.

## Properties
- Total magnetization: 0.0 μB per cell
- Relative energy among the computed polymorphs: 0.020 eV/atom
- Symmetry: No. 216
- Raw formation energy: 0.17 eV/atom

a = 4.026 Å, b = 4.026 Å, c = 4.026 Å
α = 60.00°, β = 60.00°, γ = 60.00°
Fractional coordinates of all 3 atoms:
Tc  0.500  0.500  0.500
Se  0.000  0.000  0.000
Cr  0.250  0.250  0.250

***

Here is a relaxed CrTc2Se crystal from Alexandria via LeMat-Bulk. Energies are from PBE.

## Properties
- Total magnetization: 1.2 μB per cell
- Symmetry: No. 35
- Raw formation energy: 0.49 eV/atom

a = 2.775 Å, b = 2.775 Å, c = 8.490 Å
α = 90.00°, β = 90.00°, γ = 113.28°
Fractional coordinates of all 4 atoms:
Tc  0.500  0.500  0.262
Se  0.500  0.500  0.730
Tc  0.000  0.000  0.013
Cr  0.000  0.000  0.495